An optimized crystal structure of Ta2CuPt9. Source: Alexandria, functional PBE-GGA.

a b c (Å): 3.9897 3.9897 11.8049
angles (deg): 90.00 90.00 90.00
Space group P4/mmm (No. 123)
Symmetry-distinct sites (fractional):
Ta 0.0000 0.0000 0.1772 [2 per cell]
Cu 0.0000 0.0000 0.5000 [1 per cell]
Pt 0.0000 0.5000 0.0000 [2 per cell]
Pt 0.0000 0.5000 0.3325 [4 per cell]
Pt 0.5000 0.5000 0.1657 [2 per cell]
Pt 0.5000 0.5000 0.5000 [1 per cell]

Calculated values
Energy of formation   -0.564 eV per atom
Magnetic moment   0.000 μB/atom
DFT total energy   -7.41 eV per atom

---

An optimized crystal structure of Cu2Ni2Bi. Source: Alexandria, functional PBE-GGA.

a b c (Å): 7.0302 7.0302 2.9712
angles (deg): 90.00 90.00 90.00
Space group P4/mbm (No. 127)
Symmetry-distinct sites (fractional):
Cu 0.1256 0.3744 0.0000 [4 per cell]
Ni 0.1625 0.6625 0.5000 [4 per cell]
Bi 0.0000 0.0000 0.0000 [2 per cell]

Calculated values
Energy of formation   0.257 eV per atom
Magnetic moment   0.000 μB/atom
Polymorph energy (0 for the lowest one)   0.16 eV/f.u.
DFT total energy   -4.47 eV per atom

---

An optimized crystal structure of AsRu. Source: Alexandria, functional PBE-GGA.

a b c (Å): 3.1345 3.1345 3.6110
angles (deg): 90.00 90.00 120.00
Space group P-6m2 (No. 187)
Symmetry-distinct sites (fractional):
As 0.0000 0.0000 0.0000 [1 per cell]
Ru 0.6667 0.3333 0.5000 [1 per cell]

Calculated values
Energy of formation   0.002 eV per atom
Magnetic moment   0.000 μB/atom
DFT total energy   -6.96 eV per atom

---

An optimized crystal structure of Y12Re3H5. Source: Alexandria, functional PBE-GGA.

a b c (Å): 15.2037 15.2037 15.2037
angles (deg): 90.00 90.00 90.00
Space group Ia-3d (No. 230)
Symmetry-distinct sites (fractional):
Y 0.0321 0.0612 0.6557 [96 per cell]
Re 0.0000 0.2500 0.1250 [24 per cell]
H 0.0000 0.0000 0.0000 [16 per cell]
H 0.0000 0.2500 0.3750 [24 per cell]

Calculated values
Magnetic moment   0.000 μB/atom
DFT total energy   -6.72 eV per atom

---

An optimized crystal structure of Dy8Te3PSe3. Source: Alexandria, functional PBE-GGA.

a b c (Å): 8.2825 8.2825 20.9048
angles (deg): 90.00 90.00 120.00
Space group R-3m (No. 166, hexagonal axes)
Symmetry-distinct sites (fractional):
Dy 0.0000 0.0000 0.2384 [6 per cell]
Dy 0.0143 0.5071 0.2383 [18 per cell]
Te 0.0000 0.5000 0.0000 [9 per cell]
P 0.0000 0.0000 0.5000 [3 per cell]
Se 0.0000 0.5000 0.5000 [9 per cell]

Calculated values
Magnetic moment   0.000 μB/atom
Energy relative to the elements, uncorrected   -1.4291 eV per atom
DFT total energy   -5.57 eV per atom

---

An optimized crystal structure of Mg2TlVCl8. Source: Alexandria, functional PBE-GGA.

a b c (Å): 6.2654 6.2690 8.7616
angles (deg): 77.14 77.39 75.55
Space group P-1 (No. 2)
Symmetry-distinct sites (fractional):
Mg 0.0544 0.0558 0.2758 [2 per cell]
Tl 0.5000 0.5000 0.5000 [1 per cell]
V 0.5000 0.5000 0.0000 [1 per cell]
Cl 0.1619 0.1717 0.4858 [2 per cell]
Cl 0.2466 0.6911 0.2029 [2 per cell]
Cl 0.2528 0.2596 0.0302 [2 per cell]
Cl 0.3134 0.7582 0.7948 [2 per cell]

Calculated values
Magnetic moment   0.167 μB/atom
Energy relative to the elements, uncorrected   -1.4205 eV per atom
DFT total energy   -3.87 eV per atom

---

An optimized crystal structure of YAsSe2F. Source: Alexandria, functional PBE-GGA.

a b c (Å): 5.3346 5.3346 5.5921
angles (deg): 90.00 90.00 90.00
Space group P4/mmm (No. 123)
Symmetry-distinct sites (fractional):
Y 0.0000 0.0000 0.0000 [1 per cell]
As 0.0000 0.0000 0.5000 [1 per cell]
Se 0.0000 0.5000 0.0000 [2 per cell]
F 0.5000 0.5000 0.5000 [1 per cell]

Calculated values
Magnetic moment   0.089 μB/atom
Energy relative to the elements, uncorrected   -0.1073 eV per atom
Polymorph energy (0 for the lowest one)   2.67 eV/f.u.
DFT total energy   -4.10 eV per atom

---

An optimized crystal structure of DyThTe2. Source: Alexandria, functional PBE-GGA.

a b c (Å): 4.2095 4.2095 23.6379
angles (deg): 90.00 90.00 120.00
Space group R-3m (No. 166, hexagonal axes)
Symmetry-distinct sites (fractional):
Dy 0.0000 0.0000 0.0000 [3 per cell]
Th 0.0000 0.0000 0.5000 [3 per cell]
Te 0.0000 0.0000 0.2547 [6 per cell]

Calculated values
Magnetic moment   0.000 μB/atom
Energy relative to the elements, uncorrected   -1.1434 eV per atom
Polymorph energy (0 for the lowest one)   0.06 eV/f.u.
DFT total energy   -5.72 eV per atom

---

An optimized crystal structure of BaInSe2. Source: Alexandria, functional PBE-GGA.

a b c (Å): 4.8759 6.2115 7.9038
angles (deg): 90.00 90.00 90.00
Space group Immm (No. 71)
Symmetry-distinct sites (fractional):
Ba 0.0000 0.0000 0.0000 [2 per cell]
In 0.0000 0.0000 0.5000 [2 per cell]
Se 0.0000 0.5000 0.2154 [4 per cell]

Calculated values
Magnetic moment   0.000 μB/atom
Energy relative to the elements, uncorrected   -0.9887 eV per atom
DFT total energy   -3.90 eV per atom

---

An optimized crystal structure of K4LaOs. Source: Alexandria, functional PBE-GGA.

a b c (Å): 9.6055 9.6055 9.6055
angles (deg): 90.00 90.00 90.00
Space group F-43m (No. 216)
Symmetry-distinct sites (fractional):
K 0.1217 0.1217 0.3783 [16 per cell]
La 0.0000 0.0000 0.0000 [4 per cell]
Os 0.2500 0.2500 0.7500 [4 per cell]

Calculated values
Energy of formation   1.326 eV per atom
Magnetic moment   0.052 μB/atom
DFT total energy   -2.10 eV per atom

---

An optimized crystal structure of Li2YFe. Source: Alexandria, functional PBE-GGA.

a b c (Å): 4.4163 4.4163 7.7046
angles (deg): 90.00 90.00 90.00
Space group I-4m2 (No. 119)
Symmetry-distinct sites (fractional):
Li 0.0000 0.0000 0.0000 [2 per cell]
Li 0.0000 0.5000 0.2500 [2 per cell]
Y 0.0000 0.5000 0.7500 [2 per cell]
Fe 0.0000 0.0000 0.5000 [2 per cell]

Calculated values
Energy of formation   0.348 eV per atom
Magnetic moment   0.409 μB/atom
Polymorph energy (0 for the lowest one)   0.45 eV/f.u.
DFT total energy   -4.34 eV per atom

---

An optimized crystal structure of MgTlPd6. Source: Alexandria, functional PBE-GGA.

a b c (Å): 5.6753 5.6753 4.0551
angles (deg): 90.00 90.00 90.00
Space group P4/mmm (No. 123)
Symmetry-distinct sites (fractional):
Mg 0.0000 0.0000 0.0000 [1 per cell]
Tl 0.5000 0.5000 0.0000 [1 per cell]
Pd 0.0000 0.5000 0.0000 [2 per cell]
Pd 0.2459 0.2459 0.5000 [4 per cell]

Calculated values
Energy of formation   -0.324 eV per atom
Magnetic moment   0.000 μB/atom
Polymorph energy (0 for the lowest one)   0.00 eV/f.u.
DFT total energy   -4.71 eV per atom